# 1
DFT (PBE-GGA) results for crystalline Pm3Nd3Tm5 at its relaxed geometry.

Theoretical density   6.39 Mg/m³
VASP energy   -42.3 eV/cell
Formation enthalpy at 0 K   0.78 eV per atom

Structure (POSCAR):
```
Pm3Nd3Tm5
1.0
9.6166 0.0000 0.0000
-4.8083 8.3282 0.0000
0.0000 0.0000 5.5583
Pm Nd Tm
3 3 5
direct
0.0000 0.4307 0.0000
0.4307 0.0000 0.0000
0.5693 0.5693 0.0000
0.0000 0.6303 0.5000
0.3697 0.3697 0.5000
0.6303 0.0000 0.5000
0.0000 0.2653 0.5000
0.2653 0.0000 0.5000
0.3333 0.6667 0.5000
0.6667 0.3333 0.5000
0.7347 0.7347 0.5000
```


# 2
DFT (PBE-GGA) results for crystalline PuZnCu at its relaxed geometry.

Theoretical density   11.45 Mg/m³
VASP energy   -20.0 eV/cell
Formation enthalpy at 0 K   -0.10 eV per atom

Structure (POSCAR):
```
PuZnCu
1.0
4.6313 0.0000 0.0000
-2.3157 4.0108 0.0000
0.0000 0.0000 2.9107
Pu Zn Cu
1 1 1
direct
0.0000 0.0000 0.0000
0.3333 0.6667 0.5000
0.6667 0.3333 0.5000
```